Record 1
A geometry-optimized BeTl2O2 structure. Source: the Alexandria database, functional PBE.

a = 6.889 Å, b = 6.889 Å, c = 3.372 Å
α = 90.00°, β = 90.00°, γ = 90.00°
Space group P4/mbm (No. 127)
Inequivalent atoms, fractional coordinates:
Be  0.000  0.000  0.000 [2 per cell]
Tl  0.157  0.343  0.000 [4 per cell]
O  0.147  0.647  0.500 [4 per cell]

Summary:
Total energy: -3.391 eV per atom
Formation energy from raw total energies: 1.421 eV per formula unit
Crystal system: tetragonal

***

Record 2
A geometry-optimized BeTl2O2 structure. Source: the Alexandria database, functional PBE.

a = 4.068 Å, b = 4.068 Å, c = 10.532 Å
α = 90.00°, β = 90.00°, γ = 90.00°
Space group I4/mmm (No. 139)
Inequivalent atoms, fractional coordinates:
Be  0.000  0.000  0.000 [2 per cell]
Tl  0.000  0.000  0.358 [4 per cell]
O  0.000  0.500  0.250 [4 per cell]

Summary:
Total energy: -3.517 eV per atom
Formation energy from raw total energies: 0.790 eV per formula unit
Crystal system: tetragonal